Crystalline Pm4MgPb at its relaxed geometry, computed with PBE.

Lattice parameters (Å, degrees): 9.1912 9.1912 9.1912 33.66 33.66 33.66
Atoms (fractional coordinates):
1 Pm 0.1231 0.1231 0.1231
2 Pm 0.3719 0.3719 0.3719
3 Pm 0.6281 0.6281 0.6281
4 Pm 0.8769 0.8769 0.8769
5 Mg 0.0000 0.0000 0.0000
6 Pb 0.5000 0.5000 0.5000

Output
Total DFT energy (no corrections), eV per atom: -3.982
ΔE_f, eV/atom: 0.0690
Calculated density, g/cm³: 6.34

Crystalline Pm3Mg4Pb3 at its relaxed geometry, computed with PBE.

Lattice parameters (Å, degrees): 9.0915 9.0915 9.0915 109.47 109.47 109.47
Atoms (fractional coordinates):
1 Pm 0.1250 0.8750 0.2500
2 Pm 0.2500 0.1250 0.8750
3 Pm 0.3750 0.6250 0.7500
4 Pm 0.6250 0.7500 0.3750
5 Pm 0.7500 0.3750 0.6250
6 Pm 0.8750 0.2500 0.1250
7 Mg 0.0000 0.1864 0.5000
8 Mg 0.0000 0.6864 0.5000
9 Mg 0.1864 0.5000 0.0000
10 Mg 0.3136 0.3136 0.3136
11 Mg 0.5000 0.0000 0.1864
12 Mg 0.5000 0.0000 0.6864
13 Mg 0.6864 0.5000 0.0000
14 Mg 0.8136 0.8136 0.8136
15 Pb 0.1250 0.7500 0.8750
16 Pb 0.2500 0.6250 0.3750
17 Pb 0.3750 0.2500 0.6250
18 Pb 0.6250 0.3750 0.2500
19 Pb 0.7500 0.8750 0.1250
20 Pb 0.8750 0.1250 0.7500

Output
Total DFT energy (no corrections), eV per atom: -3.423
ΔE_f, eV/atom: -0.2479
Calculated density, g/cm³: 6.62

Crystalline Pm3Mg2Pb3 at its relaxed geometry, computed with PBE.

Lattice parameters (Å, degrees): 11.1065 11.1065 11.1065 156.80 155.06 34.32
Atoms (fractional coordinates):
1 Pm 0.0000 0.0000 0.0000
2 Pm 0.3741 0.8741 0.5000
3 Pm 0.6259 0.1259 0.5000
4 Mg 0.2500 0.2500 0.0000
5 Mg 0.7500 0.7500 0.0000
6 Pb 0.1465 0.6465 0.5000
7 Pb 0.5000 0.5000 0.0000
8 Pb 0.8535 0.3535 0.5000

Output
Total DFT energy (no corrections), eV per atom: -3.942
ΔE_f, eV/atom: -0.3709
Calculated density, g/cm³: 8.07

Crystalline PmMg2Pb4 at its relaxed geometry, computed with PBE.

Lattice parameters (Å, degrees): 6.5956 6.5956 4.8679 90.00 90.00 103.36
Atoms (fractional coordinates):
1 Pm 0.0000 0.0000 0.0000
2 Mg 0.2364 0.7636 0.5000
3 Mg 0.7636 0.2364 0.5000
4 Pb 0.0000 0.5000 0.0000
5 Pb 0.2908 0.2908 0.5000
6 Pb 0.5000 0.0000 0.0000
7 Pb 0.7092 0.7092 0.5000

Output
Total DFT energy (no corrections), eV per atom: -3.415
ΔE_f, eV/atom: -0.1618
Calculated density, g/cm³: 8.24

Crystalline PmMg2Pb3 at its relaxed geometry, computed with PBE.

Lattice parameters (Å, degrees): 7.8172 7.8172 4.4720 90.00 90.00 143.29
Atoms (fractional coordinates):
1 Pm 0.0000 0.0000 0.0000
2 Mg 0.3282 0.6718 0.0000
3 Mg 0.6718 0.3282 0.0000
4 Pb 0.1707 0.8293 0.5000
5 Pb 0.5000 0.5000 0.5000
6 Pb 0.8293 0.1707 0.5000

Output
Total DFT energy (no corrections), eV per atom: -3.445
ΔE_f, eV/atom: -0.2677
Calculated density, g/cm³: 8.29

Crystalline Pm3Mg2Pb3 at its relaxed geometry, computed with PBE.

Lattice parameters (Å, degrees): 9.1388 9.1388 6.5033 90.00 90.00 120.00
Atoms (fractional coordinates):
1 Pm 0.0000 0.2617 0.2500
2 Pm 0.0000 0.7383 0.7500
3 Pm 0.2617 0.0000 0.2500
4 Pm 0.2617 0.2617 0.7500
5 Pm 0.7383 0.0000 0.7500
6 Pm 0.7383 0.7383 0.2500
7 Mg 0.3333 0.6667 0.0000
8 Mg 0.3333 0.6667 0.5000
9 Mg 0.6667 0.3333 0.0000
10 Mg 0.6667 0.3333 0.5000
11 Pb 0.0000 0.3875 0.7500
12 Pb 0.0000 0.6125 0.2500
13 Pb 0.3875 0.0000 0.7500
14 Pb 0.3875 0.3875 0.2500
15 Pb 0.6125 0.0000 0.2500
16 Pb 0.6125 0.6125 0.7500

Output
Total DFT energy (no corrections), eV per atom: -3.945
ΔE_f, eV/atom: -0.3740
Calculated density, g/cm³: 7.80

Crystalline Pm3Mg2Pb4 at its relaxed geometry, computed with PBE.

Lattice parameters (Å, degrees): 8.5993 8.5993 7.1780 110.38 110.38 32.30
Atoms (fractional coordinates):
1 Pm 0.0000 0.0000 0.0000
2 Pm 0.1282 0.1282 0.6130
3 Pm 0.8718 0.8718 0.3870
4 Mg 0.3311 0.3311 0.0025
5 Mg 0.6689 0.6689 0.9975
6 Pb 0.2175 0.2175 0.2587
7 Pb 0.4842 0.4842 0.6977
8 Pb 0.5158 0.5158 0.3023
9 Pb 0.7825 0.7825 0.7413

Output
Total DFT energy (no corrections), eV per atom: -4.000
ΔE_f, eV/atom: -0.4141
Calculated density, g/cm³: 8.24

Crystalline Pm4MgPb2 at its relaxed geometry, computed with PBE.

Lattice parameters (Å, degrees): 7.9287 6.5721 8.9790 90.00 111.27 90.00
Atoms (fractional coordinates):
1 Pm 0.0038 0.2500 0.0230
2 Pm 0.1704 0.0033 0.7181
3 Pm 0.1704 0.4967 0.7181
4 Pm 0.3268 0.7500 0.3850
5 Pm 0.6732 0.2500 0.6150
6 Pm 0.8296 0.5033 0.2819
7 Pm 0.8296 0.9967 0.2819
8 Pm 0.9962 0.7500 0.9770
9 Mg 0.4457 0.2500 0.2086
10 Mg 0.5543 0.7500 0.7914
11 Pb 0.2262 0.2500 0.4201
12 Pb 0.4248 0.7500 0.0683
13 Pb 0.5752 0.2500 0.9317
14 Pb 0.7738 0.7500 0.5799

Output
Total DFT energy (no corrections), eV per atom: -4.229
ΔE_f, eV/atom: -0.2273
Calculated density, g/cm³: 7.76

Crystalline PmMg3Pb6 at its relaxed geometry, computed with PBE.

Lattice parameters (Å, degrees): 10.2198 4.8059 11.4412 90.00 95.17 90.00
Atoms (fractional coordinates):
1 Pm 0.0603 0.2500 0.3841
2 Pm 0.9397 0.7500 0.6159
3 Mg 0.2492 0.2500 0.0050
4 Mg 0.3446 0.7500 0.8017
5 Mg 0.4456 0.2500 0.5975
6 Mg 0.5544 0.7500 0.4025
7 Mg 0.6554 0.2500 0.1983
8 Mg 0.7508 0.7500 0.9950
9 Pb 0.0647 0.7500 0.9069
10 Pb 0.1577 0.7500 0.1951
11 Pb 0.1677 0.2500 0.6987
12 Pb 0.2663 0.7500 0.5037
13 Pb 0.3761 0.2500 0.2998
14 Pb 0.4570 0.7500 0.0951
15 Pb 0.5430 0.2500 0.9049
16 Pb 0.6239 0.7500 0.7002
17 Pb 0.7337 0.2500 0.4963
18 Pb 0.8323 0.7500 0.3013
19 Pb 0.8423 0.2500 0.8049
20 Pb 0.9353 0.2500 0.0931

Output
Total DFT energy (no corrections), eV per atom: -3.306
ΔE_f, eV/atom: -0.1275
Calculated density, g/cm³: 8.67

Crystalline PmMgPb3 at its relaxed geometry, computed with PBE.

Lattice parameters (Å, degrees): 7.5824 6.4364 12.2475 90.00 94.78 90.00
Atoms (fractional coordinates):
1 Pm 0.1363 0.1544 0.3613
2 Pm 0.1363 0.3456 0.8613
3 Pm 0.8637 0.6544 0.1387
4 Pm 0.8637 0.8456 0.6387
5 Mg 0.4422 0.7425 0.4703
6 Mg 0.4422 0.7575 0.9703
7 Mg 0.5578 0.2425 0.0297
8 Mg 0.5578 0.2575 0.5297
9 Pb 0.0660 0.6390 0.4006
10 Pb 0.0660 0.8610 0.9006
11 Pb 0.2620 0.0589 0.6304
12 Pb 0.2620 0.4411 0.1304
13 Pb 0.3860 0.5784 0.6967
14 Pb 0.3860 0.9216 0.1967
15 Pb 0.6140 0.0784 0.8033
16 Pb 0.6140 0.4216 0.3033
17 Pb 0.7380 0.5589 0.8696
18 Pb 0.7380 0.9411 0.3696
19 Pb 0.9340 0.1390 0.0994
20 Pb 0.9340 0.3610 0.5994

Output
Total DFT energy (no corrections), eV per atom: -3.678
ΔE_f, eV/atom: -0.1837
Calculated density, g/cm³: 8.82

Crystalline Pm6MgPb6 at its relaxed geometry, computed with PBE.

Lattice parameters (Å, degrees): 6.6669 6.6669 10.6645 90.00 90.00 120.00
Atoms (fractional coordinates):
1 Pm 0.0000 0.0000 0.1769
2 Pm 0.0000 0.0000 0.8231
3 Pm 0.3333 0.6667 0.0000
4 Pm 0.3333 0.6667 0.5000
5 Pm 0.6667 0.3333 0.0000
6 Pm 0.6667 0.3333 0.5000
7 Mg 0.0000 0.0000 0.5000
8 Pb 0.0000 0.5000 0.2512
9 Pb 0.0000 0.5000 0.7488
10 Pb 0.5000 0.0000 0.2512
11 Pb 0.5000 0.0000 0.7488
12 Pb 0.5000 0.5000 0.2512
13 Pb 0.5000 0.5000 0.7488

Output
Total DFT energy (no corrections), eV per atom: -4.396
ΔE_f, eV/atom: -0.3695
Calculated density, g/cm³: 8.65

Crystalline Pm2MgPb5 at its relaxed geometry, computed with PBE.

Lattice parameters (Å, degrees): 6.7930 13.5729 4.9732 90.00 90.00 90.00
Atoms (fractional coordinates):
1 Pm 0.2182 0.1341 0.0000
2 Pm 0.2818 0.6341 0.0000
3 Pm 0.7182 0.3659 0.0000
4 Pm 0.7818 0.8659 0.0000
5 Mg 0.0000 0.5000 0.5000
6 Mg 0.5000 0.0000 0.5000
7 Pb 0.0000 0.0000 0.5000
8 Pb 0.0243 0.7428 0.5000
9 Pb 0.2200 0.3853 0.0000
10 Pb 0.2800 0.8853 0.0000
11 Pb 0.4757 0.2428 0.5000
12 Pb 0.5000 0.5000 0.5000
13 Pb 0.5243 0.7572 0.5000
14 Pb 0.7200 0.1147 0.0000
15 Pb 0.7800 0.6147 0.0000
16 Pb 0.9757 0.2572 0.5000

Output
Total DFT energy (no corrections), eV per atom: -4.086
ΔE_f, eV/atom: -0.3815
Calculated density, g/cm³: 9.78

Crystalline PmMg2Pb3 at its relaxed geometry, computed with PBE.

Lattice parameters (Å, degrees): 7.9963 7.9963 6.1986 90.00 90.00 77.26
Atoms (fractional coordinates):
1 Pm 0.2011 0.7989 0.7500
2 Pm 0.7989 0.2011 0.2500
3 Mg 0.3746 0.3746 0.0000
4 Mg 0.3746 0.3746 0.5000
5 Mg 0.6254 0.6254 0.0000
6 Mg 0.6254 0.6254 0.5000
7 Pb 0.1107 0.2254 0.7500
8 Pb 0.2254 0.1107 0.2500
9 Pb 0.2930 0.7070 0.2500
10 Pb 0.7070 0.2930 0.7500
11 Pb 0.7746 0.8893 0.7500
12 Pb 0.8893 0.7746 0.2500

Output
Total DFT energy (no corrections), eV per atom: -3.204
ΔE_f, eV/atom: -0.0264
Calculated density, g/cm³: 7.00

Crystalline PmMg4Pb7 at its relaxed geometry, computed with PBE.

Lattice parameters (Å, degrees): 7.4368 7.4368 10.6067 120.40 120.40 47.44
Atoms (fractional coordinates):
1 Pm 0.0000 0.0000 0.0000
2 Mg 0.2935 0.2935 0.6790
3 Mg 0.4421 0.4421 0.2331
4 Mg 0.5579 0.5579 0.7669
5 Mg 0.7065 0.7065 0.3210
6 Pb 0.0782 0.0782 0.3666
7 Pb 0.2103 0.2103 0.8924
8 Pb 0.3373 0.3373 0.4123
9 Pb 0.5000 0.5000 0.0000
10 Pb 0.6627 0.6627 0.5877
11 Pb 0.7897 0.7897 0.1076
12 Pb 0.9218 0.9218 0.6334

Output
Total DFT energy (no corrections), eV per atom: -3.089
ΔE_f, eV/atom: 0.0017
Calculated density, g/cm³: 7.81

Crystalline Pm4Mg6Pb7 at its relaxed geometry, computed with PBE.

Lattice parameters (Å, degrees): 8.4752 8.4752 8.4752 109.47 109.47 109.47
Atoms (fractional coordinates):
1 Pm 0.0000 0.0000 0.5000
2 Pm 0.0000 0.5000 0.0000
3 Pm 0.5000 0.0000 0.0000
4 Pm 0.5000 0.5000 0.5000
5 Mg 0.0000 0.3011 0.3011
6 Mg 0.0000 0.6989 0.6989
7 Mg 0.3011 0.0000 0.3011
8 Mg 0.3011 0.3011 0.0000
9 Mg 0.6989 0.0000 0.6989
10 Mg 0.6989 0.6989 0.0000
11 Pb 0.0000 0.0000 0.0000
12 Pb 0.2500 0.5000 0.7500
13 Pb 0.2500 0.7500 0.5000
14 Pb 0.5000 0.2500 0.7500
15 Pb 0.5000 0.7500 0.2500
16 Pb 0.7500 0.2500 0.5000
17 Pb 0.7500 0.5000 0.2500

Output
Total DFT energy (no corrections), eV per atom: -3.465
ΔE_f, eV/atom: -0.2579
Calculated density, g/cm³: 7.71

Crystalline Pm2Mg3Pb3 at its relaxed geometry, computed with PBE.

Lattice parameters (Å, degrees): 4.7782 4.8994 9.2047 90.00 90.00 90.00
Atoms (fractional coordinates):
1 Pm 0.0000 0.0000 0.2465
2 Pm 0.0000 0.0000 0.7535
3 Mg 0.0000 0.5000 0.5000
4 Mg 0.5000 0.5000 0.2574
5 Mg 0.5000 0.5000 0.7426
6 Pb 0.0000 0.5000 0.0000
7 Pb 0.5000 0.0000 0.0000
8 Pb 0.5000 0.0000 0.5000

Output
Total DFT energy (no corrections), eV per atom: -3.531
ΔE_f, eV/atom: -0.3548
Calculated density, g/cm³: 7.59

Crystalline Pm2Mg16Pb at its relaxed geometry, computed with PBE.

Lattice parameters (Å, degrees): 7.8181 7.8181 7.8181 82.60 82.60 82.60
Atoms (fractional coordinates):
1 Pm 0.0000 0.0000 0.0000
2 Pm 0.3443 0.3443 0.3443
3 Mg 0.0205 0.0205 0.5138
4 Mg 0.0205 0.5138 0.0205
5 Mg 0.1683 0.6760 0.6760
6 Mg 0.3200 0.3200 0.8455
7 Mg 0.3200 0.8455 0.3200
8 Mg 0.3621 0.6740 0.9848
9 Mg 0.3621 0.9848 0.6740
10 Mg 0.5138 0.0205 0.0205
11 Mg 0.6740 0.3621 0.9848
12 Mg 0.6740 0.9848 0.3621
13 Mg 0.6760 0.1683 0.6760
14 Mg 0.6760 0.6760 0.1683
15 Mg 0.7678 0.7678 0.7678
16 Mg 0.8455 0.3200 0.3200
17 Mg 0.9848 0.3621 0.6740
18 Mg 0.9848 0.6740 0.3621
19 Pb 0.5705 0.5705 0.5705

Output
Total DFT energy (no corrections), eV per atom: -2.105
ΔE_f, eV/atom: -0.0667
Calculated density, g/cm³: 3.15

Crystalline Pm3MgPb5 at its relaxed geometry, computed with PBE.

Lattice parameters (Å, degrees): 9.6093 9.6093 6.5262 90.00 90.00 120.00
Atoms (fractional coordinates):
1 Pm 0.0000 0.3771 0.2500
2 Pm 0.0000 0.6229 0.7500
3 Pm 0.3771 0.0000 0.2500
4 Pm 0.3771 0.3771 0.7500
5 Pm 0.6229 0.0000 0.7500
6 Pm 0.6229 0.6229 0.2500
7 Mg 0.0000 0.0000 0.0000
8 Mg 0.0000 0.0000 0.5000
9 Pb 0.0000 0.2815 0.7500
10 Pb 0.0000 0.7185 0.2500
11 Pb 0.2815 0.0000 0.7500
12 Pb 0.2815 0.2815 0.2500
13 Pb 0.3333 0.6667 0.0000
14 Pb 0.3333 0.6667 0.5000
15 Pb 0.6667 0.3333 0.0000
16 Pb 0.6667 0.3333 0.5000
17 Pb 0.7185 0.0000 0.2500
18 Pb 0.7185 0.7185 0.7500

Output
Total DFT energy (no corrections), eV per atom: -4.202
ΔE_f, eV/atom: -0.3815
Calculated density, g/cm³: 9.52

Crystalline Pm2MgPb3 at its relaxed geometry, computed with PBE.

Lattice parameters (Å, degrees): 8.1545 8.1545 4.8065 90.00 90.00 147.74
Atoms (fractional coordinates):
1 Pm 0.1528 0.8472 0.0000
2 Pm 0.8472 0.1528 0.0000
3 Mg 0.0000 0.0000 0.5000
4 Pb 0.3300 0.6700 0.5000
5 Pb 0.5000 0.5000 0.0000
6 Pb 0.6700 0.3300 0.5000

Output
Total DFT energy (no corrections), eV per atom: -4.153
ΔE_f, eV/atom: -0.4492
Calculated density, g/cm³: 9.11

Crystalline Pm2MgPb3 at its relaxed geometry, computed with PBE.

Lattice parameters (Å, degrees): 4.5249 4.5249 8.6803 90.00 90.00 90.00
Atoms (fractional coordinates):
1 Pm 0.0000 0.5000 0.1741
2 Pm 0.5000 0.0000 0.8259
3 Mg 0.0000 0.0000 0.5000
4 Pb 0.0000 0.5000 0.7992
5 Pb 0.5000 0.0000 0.2008
6 Pb 0.5000 0.5000 0.5000

Output
Total DFT energy (no corrections), eV per atom: -4.054
ΔE_f, eV/atom: -0.3505
Calculated density, g/cm³: 8.74